(1)
Here is a relaxed Tb5Dy2Ho2 crystal from the Alexandria database. Energies are from PBE-GGA.

## Properties
As for the space group: C2/m. For the magnetic moment, the calculation gives 0.0 μB/f.u. The total energy comes out at -4.597 eV per atom. The calculation puts the energy above the most stable polymorph in this dataset at 0 meV per atom.

```
data_Tb5Dy2Ho2
_space_group_name_H-M_alt 'P 1'
_space_group_IT_number 1
_cell_length_a 5.004
_cell_length_b 9.366
_cell_length_c 7.922
_cell_angle_alpha 53.71
_cell_angle_beta 71.59
_cell_angle_gamma 74.51
loop_
_space_group_symop_operation_xyz
'x,y,z'
loop_
_atom_site_label
_atom_site_fract_x
_atom_site_fract_y
_atom_site_fract_z
Ho1 0.111 0.334 0.445
Ho2 0.889 0.666 0.555
Tb1 0.778 0.334 0.111
Tb2 0.222 0.666 0.889
Tb3 0.667 0.000 0.667
Tb4 0.333 0.000 0.333
Tb5 0.000 0.000 0.000
Dy1 0.445 0.334 0.777
Dy2 0.555 0.666 0.223
```



(2)
Here is a relaxed Tb12DyHo3 crystal from the Alexandria database. Energies are from PBE-GGA.

## Properties
As for the space group: P4/mmm. For the magnetic moment, the calculation gives 0.0 μB/f.u. The total energy comes out at -4.602 eV per atom.

```
data_Tb12DyHo3
_space_group_name_H-M_alt 'P 1'
_space_group_IT_number 1
_cell_length_a 5.028
_cell_length_b 5.028
_cell_length_c 20.091
_cell_angle_alpha 90.00
_cell_angle_beta 90.00
_cell_angle_gamma 90.00
loop_
_space_group_symop_operation_xyz
'x,y,z'
loop_
_atom_site_label
_atom_site_fract_x
_atom_site_fract_y
_atom_site_fract_z
Tb1 0.000 0.500 0.875
Tb2 0.500 0.000 0.375
Tb3 0.500 0.000 0.125
Tb4 0.500 0.500 0.500
Tb5 0.500 0.500 0.750
Tb6 0.500 0.500 0.000
Tb7 0.000 0.500 0.125
Tb8 0.000 0.500 0.625
Tb9 0.500 0.000 0.875
Tb10 0.500 0.500 0.250
Tb11 0.500 0.000 0.625
Tb12 0.000 0.500 0.375
Dy1 0.000 0.000 0.000
Ho1 0.000 0.000 0.500
Ho2 0.000 0.000 0.750
Ho3 0.000 0.000 0.250
```



(3)
Here is a relaxed TbDy12Ho2 crystal from the Alexandria database. Energies are from PBE-GGA.

## Properties
As for the space group: C2/m. For the magnetic moment, the calculation gives 0.0 μB/f.u. The total energy comes out at -4.484 eV per atom.

```
data_TbDy12Ho2
_space_group_name_H-M_alt 'P 1'
_space_group_IT_number 1
_cell_length_a 6.582
_cell_length_b 6.582
_cell_length_c 24.753
_cell_angle_alpha 96.59
_cell_angle_beta 83.41
_cell_angle_gamma 65.02
loop_
_space_group_symop_operation_xyz
'x,y,z'
loop_
_atom_site_label
_atom_site_fract_x
_atom_site_fract_y
_atom_site_fract_z
Tb1 0.997 0.503 0.004
Tb2 0.503 0.997 0.996
Ho1 0.052 0.448 0.272
Ho2 0.448 0.052 0.728
Ho3 0.538 0.962 0.271
Ho4 0.962 0.538 0.729
Dy1 0.911 0.105 0.799
Dy2 0.589 0.395 0.201
Dy3 0.101 0.399 0.867
Dy4 0.190 0.310 0.418
Dy5 0.056 0.943 0.926
Dy6 0.673 0.340 0.445
Dy7 0.827 0.160 0.555
Dy8 0.993 0.991 0.330
Dy9 0.399 0.101 0.133
Dy10 0.668 0.832 0.431
Dy11 0.991 0.993 0.670
Dy12 0.943 0.056 0.074
Dy13 0.444 0.557 0.074
Dy14 0.310 0.190 0.582
Dy15 0.105 0.911 0.201
Dy16 0.340 0.673 0.555
Dy17 0.557 0.444 0.926
Dy18 0.507 0.509 0.670
Dy19 0.607 0.893 0.858
Dy20 0.832 0.668 0.569
Dy21 0.893 0.607 0.142
Dy22 0.160 0.827 0.445
Dy23 0.509 0.507 0.330
Dy24 0.395 0.589 0.799
```



(4)
Here is a relaxed Tb12DyHo7 crystal from the Alexandria database. Energies are from PBE-GGA.

## Properties
As for the space group: R-3. For the magnetic moment, the calculation gives 0.0 μB/f.u. The total energy comes out at -4.316 eV per atom. The calculation puts the energy above the most stable polymorph in this dataset at 0 meV per atom.

```
data_Tb12DyHo7
_space_group_name_H-M_alt 'P 1'
_space_group_IT_number 1
_cell_length_a 8.659
_cell_length_b 8.659
_cell_length_c 8.659
_cell_angle_alpha 94.90
_cell_angle_beta 94.90
_cell_angle_gamma 94.90
loop_
_space_group_symop_operation_xyz
'x,y,z'
loop_
_atom_site_label
_atom_site_fract_x
_atom_site_fract_y
_atom_site_fract_z
Dy1 0.000 0.000 0.000
Tb1 0.250 0.686 0.815
Tb2 0.522 0.853 0.585
Tb3 0.686 0.815 0.250
Tb4 0.750 0.314 0.185
Tb5 0.478 0.147 0.415
Tb6 0.585 0.522 0.853
Tb7 0.415 0.478 0.147
Tb8 0.815 0.250 0.686
Tb9 0.185 0.750 0.314
Tb10 0.853 0.585 0.522
Tb11 0.147 0.415 0.478
Tb12 0.314 0.185 0.750
Ho1 0.979 0.917 0.648
Ho2 0.917 0.648 0.979
Ho3 0.083 0.352 0.021
Ho4 0.021 0.083 0.352
Ho5 0.648 0.979 0.917
Ho6 0.500 0.500 0.500
Ho7 0.352 0.021 0.083
```



(5)
Here is a relaxed Tb4DyHo4 crystal from the Alexandria database. Energies are from PBE-GGA.

## Properties
As for the space group: I4/mmm. For the magnetic moment, the calculation gives 0.0 μB/f.u. The total energy comes out at -4.585 eV per atom. The calculation puts the energy above the most stable polymorph in this dataset at 18 meV per atom.

```
data_Tb4DyHo4
_space_group_name_H-M_alt 'P 1'
_space_group_IT_number 1
_cell_length_a 4.990
_cell_length_b 7.907
_cell_length_c 7.907
_cell_angle_alpha 84.29
_cell_angle_beta 71.61
_cell_angle_gamma 71.61
loop_
_space_group_symop_operation_xyz
'x,y,z'
loop_
_atom_site_label
_atom_site_fract_x
_atom_site_fract_y
_atom_site_fract_z
Ho1 0.334 0.333 0.000
Ho2 0.667 0.000 0.667
Ho3 0.666 0.667 0.000
Ho4 0.333 0.000 0.333
Dy1 0.000 0.000 0.000
Tb1 0.333 0.667 0.667
Tb2 0.667 0.333 0.333
Tb3 0.000 0.333 0.667
Tb4 0.000 0.667 0.333
```



(6)
Here is a relaxed Tb2Dy3Ho2 crystal from the Alexandria database. Energies are from PBE-GGA.

## Properties
As for the space group: C2/m. For the magnetic moment, the calculation gives 0.0 μB/f.u. The total energy comes out at -4.489 eV per atom. The calculation puts the energy above the most stable polymorph in this dataset at 97 meV per atom.

```
data_Tb2Dy3Ho2
_space_group_name_H-M_alt 'P 1'
_space_group_IT_number 1
_cell_length_a 3.479
_cell_length_b 8.497
_cell_length_c 8.816
_cell_angle_alpha 118.63
_cell_angle_beta 101.38
_cell_angle_gamma 90.00
loop_
_space_group_symop_operation_xyz
'x,y,z'
loop_
_atom_site_label
_atom_site_fract_x
_atom_site_fract_y
_atom_site_fract_z
Dy1 0.212 0.803 0.424
Dy2 0.788 0.197 0.576
Dy3 0.000 0.500 0.000
Ho1 0.435 0.093 0.870
Ho2 0.565 0.907 0.130
Tb1 0.146 0.324 0.293
Tb2 0.854 0.676 0.707
```



(7)
Here is a relaxed Tb2DyHo8 crystal from the Alexandria database. Energies are from PBE-GGA.

## Properties
As for the space group: Immm. For the magnetic moment, the calculation gives 0.0 μB/f.u. The total energy comes out at -4.473 eV per atom. The calculation puts the energy above the most stable polymorph in this dataset at 97 meV per atom.

```
data_Tb2DyHo8
_space_group_name_H-M_alt 'P 1'
_space_group_IT_number 1
_cell_length_a 5.470
_cell_length_b 8.043
_cell_length_c 9.270
_cell_angle_alpha 115.71
_cell_angle_beta 107.13
_cell_angle_gamma 90.00
loop_
_space_group_symop_operation_xyz
'x,y,z'
loop_
_atom_site_label
_atom_site_fract_x
_atom_site_fract_y
_atom_site_fract_z
Ho1 0.638 0.430 0.276
Ho2 0.000 0.293 0.000
Ho3 0.362 0.570 0.724
Ho4 0.638 0.845 0.276
Ho5 0.362 0.155 0.724
Ho6 0.161 0.161 0.323
Ho7 0.000 0.707 0.000
Ho8 0.839 0.839 0.677
Dy1 0.500 0.000 0.000
Tb1 0.799 0.299 0.598
Tb2 0.201 0.701 0.402
```



(8)
Here is a relaxed Tb4Dy2Ho crystal from the Alexandria database. Energies are from PBE-GGA.

## Properties
As for the space group: P2_1/m. For the magnetic moment, the calculation gives 0.0 μB/f.u. The total energy comes out at -4.479 eV per atom. The calculation puts the energy above the most stable polymorph in this dataset at 97 meV per atom.

```
data_Tb4Dy2Ho
_space_group_name_H-M_alt 'P 1'
_space_group_IT_number 1
_cell_length_a 6.092
_cell_length_b 6.536
_cell_length_c 11.498
_cell_angle_alpha 90.00
_cell_angle_beta 104.76
_cell_angle_gamma 90.00
loop_
_space_group_symop_operation_xyz
'x,y,z'
loop_
_atom_site_label
_atom_site_fract_x
_atom_site_fract_y
_atom_site_fract_z
Tb1 0.970 0.250 0.140
Tb2 0.652 0.994 0.287
Tb3 0.348 0.494 0.713
Tb4 0.030 0.750 0.860
Tb5 0.150 0.750 0.446
Tb6 0.850 0.250 0.554
Tb7 0.348 0.006 0.713
Tb8 0.652 0.506 0.287
Ho1 0.847 0.250 0.839
Ho2 0.153 0.750 0.161
Dy1 0.287 0.250 0.426
Dy2 0.605 0.750 0.996
Dy3 0.395 0.250 0.004
Dy4 0.713 0.750 0.574
```



Number 1: formation energy from the elements 16 meV/atom. Number 2: formation energy from the elements 17 meV/atom. Number 3: formation energy from the elements 117 meV/atom. Number 4: formation energy from the elements 295 meV/atom. Number 5: formation energy from the elements 18 meV/atom. Number 6: formation energy from the elements 114 meV/atom. Number 7: formation energy from the elements 116 meV/atom. Number 8: formation energy from the elements 136 meV/atom.